The following is a DFT calculation (PBE) of SrUGa2I8 after structural relaxation.

Unit cell a=7.415 b=9.475 c=7.888 alpha=90.00 beta=91.83 gamma=90.00
Space group P2/m (No. 10)
Symmetry-distinct sites (fractional):
1 Sr 0.000 0.000 0.000
2 U 0.000 0.500 0.000
3 Ga 0.500 0.239 0.500
4 I 0.231 0.500 0.315
5 I 0.237 0.270 0.850
6 I 0.264 0.000 0.341

## Properties
Formation energy from raw total energies: -0.85 eV/atom
E_tot: -3.47 eV/atom